(1)
The following is a SCAN calculation of a crystal of NdAs relaxed with PBEsol, from Alexandria.

## Properties
Its magnetization is 0.00 μB/f.u. The formation energy is -1709.0 meV/atom. Its space group is Fm-3m.

abc: 5.957 5.957 5.957
angles: 90.00 90.00 90.00
Positions (direct):
Nd1 0.000 0.000 0.000
Nd2 0.000 0.500 0.500
Nd3 0.500 0.000 0.500
Nd4 0.500 0.500 0.000
As1 0.000 0.000 0.500
As2 0.000 0.500 0.000
As3 0.500 0.000 0.000
As4 0.500 0.500 0.500

(2)
The following is a SCAN calculation of a crystal of ReHg2MoBr relaxed with PBEsol, from Alexandria.

## Properties
Its magnetization is 0.98 μB/f.u. Its formation energy without anion corrections is 1.24 eV/atom. Its space group is P4/mmm.

abc: 5.376 5.376 4.679
angles: 90.00 90.00 90.00
Positions (direct):
Re1 0.000 0.000 0.000
Hg1 0.000 0.500 0.500
Hg2 0.500 0.000 0.500
Mo1 0.000 0.000 0.500
Br1 0.500 0.500 0.000

(3)
The following is a SCAN calculation of a crystal of ZnCuAu2 relaxed with PBEsol, from Alexandria.

## Properties
Its magnetization is 0.00 μB/f.u. The formation energy is -177.4 meV/atom. Its space group is Pmmm.

abc: 3.055 3.397 5.684
angles: 90.00 90.00 90.00
Positions (direct):
Zn1 0.000 0.000 0.000
Cu1 0.000 0.000 0.500
Au1 0.500 0.500 0.253
Au2 0.500 0.500 0.747

(4)
The following is a SCAN calculation of a crystal of CsMnMoO3F3 relaxed with PBEsol, from Alexandria.

## Properties
Its magnetization is 4.32 μB/f.u. Its formation energy without anion corrections is -2.52 eV/atom. Its space group is C2/c.

abc: 7.198 7.198 7.334
angles: 118.14 118.14 91.65
Positions (direct):
Cs1 0.138 0.862 0.750
Cs2 0.862 0.138 0.250
Mn1 0.000 0.500 0.000
Mn2 0.500 0.000 0.500
Mo1 0.500 0.500 0.000
Mo2 0.500 0.500 0.500
O1 0.209 0.478 0.907
O2 0.451 0.549 0.750
O3 0.478 0.209 0.407
O4 0.522 0.791 0.593
O5 0.549 0.451 0.250
O6 0.791 0.522 0.093
F1 0.170 0.830 0.250
F2 0.174 0.409 0.260
F3 0.409 0.174 0.760
F4 0.591 0.826 0.240
F5 0.826 0.591 0.740
F6 0.830 0.170 0.750

(5)
The following is a SCAN calculation of a crystal of LuZnPd relaxed with PBEsol, from Alexandria.

## Properties
Its magnetization is 0.00 μB/f.u. The formation energy is -840.8 meV/atom. Its space group is P-62m.

abc: 7.069 7.069 3.746
angles: 90.00 90.00 120.00
Positions (direct):
Lu1 0.000 0.403 0.000
Lu2 0.403 0.000 0.000
Lu3 0.597 0.597 0.000
Zn1 0.000 0.746 0.500
Zn2 0.254 0.254 0.500
Zn3 0.746 0.000 0.500
Pd1 0.000 0.000 0.000
Pd2 0.333 0.667 0.500
Pd3 0.667 0.333 0.500

(6)
The following is a SCAN calculation of a crystal of PPd3Se relaxed with PBEsol, from Alexandria.

## Properties
Its magnetization is 0.00 μB/f.u. Its formation energy without anion corrections is 0.54 eV/atom. Its space group is Pm-3m.

abc: 4.591 4.591 4.591
angles: 90.00 90.00 90.00
Positions (direct):
P1 0.000 0.000 0.000
Pd1 0.000 0.500 0.500
Pd2 0.500 0.000 0.500
Pd3 0.500 0.500 0.000
Se1 0.500 0.500 0.500

(7)
The following is a SCAN calculation of a crystal of SbMo2Cl relaxed with PBEsol, from Alexandria.

## Properties
Its magnetization is 0.00 μB/f.u. Its formation energy without anion corrections is 0.29 eV/atom. The value obtained for the distance to the lowest polymorph of the same formula is 0.4381 eV per atom. Its space group is Pmmm.

abc: 3.417 3.532 6.590
angles: 90.00 90.00 90.00
Positions (direct):
Sb1 0.000 0.000 0.000
Mo1 0.500 0.500 0.185
Mo2 0.500 0.500 0.815
Cl1 0.000 0.500 0.500

(8)
The following is a SCAN calculation of a crystal of BeAs2Pt relaxed with PBEsol, from Alexandria.

## Properties
Its magnetization is 0.00 μB/f.u. The formation energy is -26.7 meV/atom. Its space group is C2/m.

abc: 6.197 3.578 6.016
angles: 90.00 109.97 90.00
Positions (direct):
Be1 0.000 0.000 0.000
Be2 0.500 0.500 0.000
As1 0.246 0.500 0.235
As2 0.254 0.000 0.765
As3 0.746 0.000 0.235
As4 0.754 0.500 0.765
Pt1 0.000 0.500 0.500
Pt2 0.500 0.000 0.500

(9)
The following is a SCAN calculation of a crystal of Mg2ScMn relaxed with PBEsol, from Alexandria.

## Properties
Its magnetization is 3.61 μB/f.u. The value obtained for the distance to the lowest polymorph of the same formula is 0.0511 eV per atom. The formation energy is -37.2 meV/atom. Its space group is Fm-3m.

abc: 6.738 6.738 6.738
angles: 90.00 90.00 90.00
Positions (direct):
Mg1 0.250 0.250 0.250
Mg2 0.250 0.250 0.750
Mg3 0.250 0.750 0.250
Mg4 0.250 0.750 0.750
Mg5 0.750 0.250 0.250
Mg6 0.750 0.250 0.750
Mg7 0.750 0.750 0.250
Mg8 0.750 0.750 0.750
Sc1 0.000 0.000 0.000
Sc2 0.000 0.500 0.500
Sc3 0.500 0.000 0.500
Sc4 0.500 0.500 0.000
Mn1 0.000 0.000 0.500
Mn2 0.000 0.500 0.000
Mn3 0.500 0.000 0.000
Mn4 0.500 0.500 0.500

(10)
The following is a SCAN calculation of a crystal of NdAu3 relaxed with PBEsol, from Alexandria.

## Properties
Its magnetization is 0.00 μB/f.u. The formation energy is -766.3 meV/atom. Its space group is Fm-3m.

abc: 6.900 6.900 6.900
angles: 90.00 90.00 90.00
Positions (direct):
Nd1 0.000 0.000 0.000
Nd2 0.000 0.500 0.500
Nd3 0.500 0.000 0.500
Nd4 0.500 0.500 0.000
Au1 0.000 0.000 0.500
Au2 0.000 0.500 0.000
Au3 0.250 0.250 0.250
Au4 0.250 0.250 0.750
Au5 0.250 0.750 0.250
Au6 0.250 0.750 0.750
Au7 0.500 0.000 0.000
Au8 0.500 0.500 0.500
Au9 0.750 0.250 0.250
Au10 0.750 0.250 0.750
Au11 0.750 0.750 0.250
Au12 0.750 0.750 0.750

(11)
The following is a SCAN calculation of a crystal of SiAs3Pb relaxed with PBEsol, from Alexandria.

## Properties
Its magnetization is 0.00 μB/f.u. Its formation energy without anion corrections is 0.51 eV/atom. Its space group is Pm-3m.

abc: 4.804 4.804 4.804
angles: 90.00 90.00 90.00
Positions (direct):
Si1 0.000 0.000 0.000
As1 0.000 0.000 0.500
As2 0.000 0.500 0.000
As3 0.500 0.000 0.000
Pb1 0.500 0.500 0.500

(12)
The following is a SCAN calculation of a crystal of MgSbAs2 relaxed with PBEsol, from Alexandria.

## Properties
Its magnetization is 0.00 μB/f.u. Its formation energy without anion corrections is 0.12 eV/atom. The value obtained for the distance to the lowest polymorph of the same formula is 0.3267 eV per atom. Its space group is Cmmm.

abc: 3.979 4.583 9.088
angles: 90.00 90.00 90.00
Positions (direct):
Mg1 0.000 0.000 0.000
Mg2 0.500 0.500 0.000
Sb1 0.000 0.000 0.500
Sb2 0.500 0.500 0.500
As1 0.000 0.500 0.215
As2 0.000 0.500 0.785
As3 0.500 0.000 0.215
As4 0.500 0.000 0.785

(13)
The following is a SCAN calculation of a crystal of MgIr2Rh relaxed with PBEsol, from Alexandria.

## Properties
Its magnetization is 0.00 μB/f.u. The formation energy is -113.6 meV/atom. Its space group is Immm.

abc: 2.751 4.466 9.659
angles: 90.00 90.00 90.00
Positions (direct):
Mg1 0.000 0.000 0.000
Mg2 0.500 0.500 0.500
Ir1 0.000 0.500 0.228
Ir2 0.000 0.500 0.772
Ir3 0.500 0.000 0.272
Ir4 0.500 0.000 0.728
Rh1 0.000 0.000 0.500
Rh2 0.500 0.500 0.000

(14)
The following is a SCAN calculation of a crystal of NaHf3In relaxed with PBEsol, from Alexandria.

## Properties
Its magnetization is 0.00 μB/f.u. The formation energy is 1394.8 meV/atom. Its space group is Pm-3m.

abc: 4.876 4.876 4.876
angles: 90.00 90.00 90.00
Positions (direct):
Na1 0.000 0.000 0.000
Hf1 0.000 0.000 0.500
Hf2 0.000 0.500 0.000
Hf3 0.500 0.000 0.000
In1 0.500 0.500 0.500

(15)
The following is a SCAN calculation of a crystal of BaZn relaxed with PBEsol, from Alexandria.

## Properties
Its magnetization is 0.00 μB/f.u. The formation energy is -192.4 meV/atom. Its space group is R-3m.

abc: 7.801 7.801 7.801
angles: 42.65 42.65 42.65
Positions (direct):
Ba1 0.000 0.000 0.000
Ba2 0.225 0.225 0.225
Ba3 0.775 0.775 0.775
Zn1 0.383 0.383 0.383
Zn2 0.500 0.500 0.500
Zn3 0.617 0.617 0.617

(16)
The following is a SCAN calculation of a crystal of TlFeBr2 relaxed with PBEsol, from Alexandria.

## Properties
Its magnetization is 3.54 μB/f.u. Its formation energy without anion corrections is -0.41 eV/atom. Its space group is R-3m.

abc: 3.540 3.540 26.702
angles: 90.00 90.00 120.00
Positions (direct):
Tl1 0.000 0.000 0.000
Tl2 0.333 0.667 0.667
Tl3 0.667 0.333 0.333
Fe1 0.000 0.000 0.500
Fe2 0.333 0.667 0.167
Fe3 0.667 0.333 0.833
Br1 0.000 0.000 0.225
Br2 0.000 0.000 0.775
Br3 0.333 0.667 0.442
Br4 0.333 0.667 0.891
Br5 0.667 0.333 0.109
Br6 0.667 0.333 0.558

(17)
The following is a SCAN calculation of a crystal of Sb2AsSI relaxed with PBEsol, from Alexandria.

## Properties
Its magnetization is 0.00 μB/f.u. Its formation energy without anion corrections is 0.89 eV/atom. Its space group is P4/mmm.

abc: 5.380 5.380 5.296
angles: 90.00 90.00 90.00
Positions (direct):
Sb1 0.000 0.500 0.000
Sb2 0.500 0.000 0.000
As1 0.000 0.000 0.000
S1 0.500 0.500 0.500
I1 0.000 0.000 0.500

(18)
The following is a SCAN calculation of a crystal of MgCu2Se2 relaxed with PBEsol, from Alexandria.

## Properties
Its magnetization is 0.00 μB/f.u. Its formation energy without anion corrections is -0.48 eV/atom. The value obtained for the distance to the lowest polymorph of the same formula is 0.0967 eV per atom. Its space group is C2/m.

abc: 11.855 3.762 4.079
angles: 90.00 92.14 90.00
Positions (direct):
Mg1 0.000 0.000 0.000
Mg2 0.500 0.500 0.000
Cu1 0.233 0.500 0.800
Cu2 0.267 0.000 0.200
Cu3 0.733 0.000 0.800
Cu4 0.767 0.500 0.200
Se1 0.124 0.500 0.291
Se2 0.376 0.000 0.709
Se3 0.624 0.000 0.291
Se4 0.876 0.500 0.709

(19)
The following is a SCAN calculation of a crystal of TlCdBi2 relaxed with PBEsol, from Alexandria.

## Properties
Its magnetization is 0.00 μB/f.u. The formation energy is 151.7 meV/atom. Its space group is Fm-3m.

abc: 7.633 7.633 7.633
angles: 90.00 90.00 90.00
Positions (direct):
Tl1 0.000 0.000 0.000
Tl2 0.000 0.500 0.500
Tl3 0.500 0.000 0.500
Tl4 0.500 0.500 0.000
Cd1 0.000 0.000 0.500
Cd2 0.000 0.500 0.000
Cd3 0.500 0.000 0.000
Cd4 0.500 0.500 0.500
Bi1 0.250 0.250 0.250
Bi2 0.250 0.250 0.750
Bi3 0.250 0.750 0.250
Bi4 0.250 0.750 0.750
Bi5 0.750 0.250 0.250
Bi6 0.750 0.250 0.750
Bi7 0.750 0.750 0.250
Bi8 0.750 0.750 0.750

(20)
The following is a SCAN calculation of a crystal of BaTlSb2 relaxed with PBEsol, from Alexandria.

## Properties
Its magnetization is 0.00 μB/f.u. Its formation energy without anion corrections is -0.48 eV/atom. The value obtained for the distance to the lowest polymorph of the same formula is 0.0763 eV per atom. Its space group is Imm2.

abc: 4.096 5.641 10.978
angles: 90.00 90.00 90.00
Positions (direct):
Ba1 0.000 0.000 0.000
Ba2 0.500 0.500 0.500
Tl1 0.000 0.500 0.227
Tl2 0.500 0.000 0.727
Sb1 0.000 0.000 0.479
Sb2 0.000 0.500 0.781
Sb3 0.500 0.000 0.281
Sb4 0.500 0.500 0.979

Number 1: energy -268.763 eV per cell. Number 2: energy -255.563 eV per cell. Number 3: energy -167.738 eV per cell. Number 4: energy -285.891 eV per cell. Number 5: energy -312.469 eV per cell. Number 6: energy -126.078 eV per cell. Number 7: energy -113.829 eV per cell. Number 8: energy -230.070 eV per cell. Number 9: energy -170.354 eV per cell. Number 10: energy -1016.473 eV per cell. Number 11: energy -143.796 eV per cell. Number 12: energy -164.308 eV per cell. Number 13: energy -362.796 eV per cell. Number 14: energy -218.647 eV per cell. Number 15: energy -160.351 eV per cell. Number 16: energy -393.197 eV per cell. Number 17: energy -136.607 eV per cell. Number 18: energy -155.810 eV per cell. Number 19: energy -1037.301 eV per cell. Number 20: energy -376.687 eV per cell.